A:
First-principles (PBE) data for an optimized crystal structure of MnGaAu6, as listed in Alexandria via LeMat-Bulk.

Results
spin magnetization: 4.3 μB per cell
space group: No. 12

Lattice parameters (Å, degrees): 5.130 5.130 7.799 111.06 111.06 48.18
Positions (direct):
Mn 0.000 0.000 0.000
Ga 0.000 0.000 0.500
Au 0.224 0.224 0.365
Au 0.257 0.257 0.879
Au 0.489 0.489 0.259
Au 0.511 0.511 0.741
Au 0.743 0.743 0.121
Au 0.776 0.776 0.635


B:
First-principles (PBE) data for an optimized crystal structure of MnGaAu6, as listed in Alexandria via LeMat-Bulk.

Results
spin magnetization: 4.5 μB per cell
space group: No. 2

Lattice parameters (Å, degrees): 5.363 5.372 5.399 77.27 78.56 78.90
Positions (direct):
Mn 0.000 0.000 0.000
Ga 0.500 0.500 0.500
Au 0.010 0.747 0.505
Au 0.254 0.501 0.980
Au 0.498 0.990 0.252
Au 0.502 0.010 0.748
Au 0.746 0.499 0.020
Au 0.990 0.253 0.495


Stability order, top to bottom: A, B


A:
First-principles (PBE) data for an optimized crystal structure of Ga3AuN, as listed in Alexandria via LeMat-Bulk.

Results
spin magnetization: 1.3 μB per cell
space group: No. 221

Lattice parameters (Å, degrees): 4.953 4.953 4.953 90.00 90.00 90.00
Positions (direct):
Ga 0.000 0.000 0.500
Ga 0.000 0.500 0.000
Ga 0.500 0.000 0.000
Au 0.000 0.000 0.000
N 0.500 0.500 0.500


B:
First-principles (PBE) data for an optimized crystal structure of Ga3AuN, as listed in Alexandria via LeMat-Bulk.

Results
spin magnetization: 0.0 μB per cell
space group: No. 221

Lattice parameters (Å, degrees): 4.326 4.326 4.326 90.00 90.00 90.00
Positions (direct):
Ga 0.000 0.000 0.500
Ga 0.000 0.500 0.000
Ga 0.500 0.000 0.000
Au 0.500 0.500 0.500
N 0.000 0.000 0.000


Stability order, top to bottom: B, A